--- 1 ---
A relaxed structure of DyHo3Ir, computed with PBE.

Results
The theoretical density comes out at 9.6 g/cm³.

Unit cell a=8.832 b=8.832 c=9.263 alpha=104.41 beta=104.41 gamma=24.79
Element x y z (fractional)
Dy 0.190 0.190 0.297
Dy 0.810 0.810 0.703
Ho 0.180 0.180 0.877
Ho 0.399 0.399 0.456
Ho 0.498 0.498 0.818
Ho 0.502 0.502 0.182
Ho 0.601 0.601 0.544
Ho 0.820 0.820 0.123
Ir 0.361 0.361 0.934
Ir 0.639 0.639 0.066


--- 2 ---
A relaxed structure of DyHo3Ir, computed with PBE.

Results
The theoretical density comes out at 9.3 g/cm³.

Unit cell a=7.582 b=6.504 c=6.149 alpha=90.00 beta=90.00 gamma=90.00
Element x y z (fractional)
Dy 0.000 0.152 0.000
Dy 0.500 0.848 0.500
Ho 0.000 0.847 0.493
Ho 0.250 0.313 0.497
Ho 0.250 0.687 0.997
Ho 0.500 0.153 0.993
Ho 0.750 0.313 0.497
Ho 0.750 0.687 0.997
Ir 0.000 0.501 0.747
Ir 0.500 0.499 0.247


--- 3 ---
A relaxed structure of DyHo3Ir, computed with PBE.

Results
The theoretical density comes out at 8.9 g/cm³.

Unit cell a=5.403 b=5.403 c=5.403 alpha=90.00 beta=90.00 gamma=90.00
Element x y z (fractional)
Dy 0.000 0.000 0.000
Ho 0.000 0.500 0.500
Ho 0.500 0.000 0.500
Ho 0.500 0.500 0.000
Ir 0.500 0.500 0.500


Energy relative to the most stable one, in meV per atom: 1 74; 2 0; 3 84